First-principles (GGA-PBE) data for an optimized crystal structure of SnHg3Te4, as listed in Alexandria via LeMat-Bulk.

Cell: 4.7009 4.7009 16.5352 Å, 81.83 81.83 60.00°
Element x y z (fractional)
Hg: 0.7552 0.7552 0.7345
Hg: 0.2447 0.2447 0.2658
Hg: 0.5000 0.5000 0.4999
Te: 0.3053 0.3053 0.0842
Te: 0.0690 0.0690 0.7930
Te: 0.8147 0.8147 0.5559
Te: 0.5599 0.5599 0.3204
Sn: 0.0012 0.0012 0.9964

Properties
Raw formation energy, kcal/mol of atoms: -2.88
Total magnetization, μB per cell: 0.00
Relative energy among the computed polymorphs, eV/atom: 0.0000
Calculated density, g cm⁻³: 6.55
DOS at the Fermi energy, states/eV/cell: 2.802